1.
The following is a DFT calculation (GGA-PBE) of an optimized crystal structure of PrErTmSc.

```
PrErTmSc
1.0
3.517 -0.001 0.000
-1.759 3.047 0.001
-1.755 -1.018 11.282
Pr Er Tm Sc
1 1 1 1
direct
0.965 0.381 0.361
0.306 0.551 0.873
0.474 0.135 0.625
0.132 0.964 0.111
```

## Properties
Energy above the most stable polymorph in this dataset ... 0.000 eV per atom
DFT formation energy ... 0.06 eV per atom
Energy ... -19.90 eV per cell

=====

2.
The following is a DFT calculation (GGA-PBE) of an optimized crystal structure of HoSi2Tc4.

```
HoSi2Tc4
1.0
4.079 0.000 0.000
0.000 4.108 0.000
0.000 -2.054 6.872
Ho Si Tc
1 2 4
direct
0.000 0.000 0.000
0.500 0.588 0.175
0.500 0.412 0.825
0.500 0.811 0.623
0.000 0.695 0.389
0.500 0.189 0.377
0.000 0.305 0.611
```

## Properties
Formation energy without anion corrections ... -0.517 eV/atom
Energy ... -60.51 eV per cell

=====

3.
The following is a DFT calculation (GGA-PBE) of an optimized crystal structure of ZnCo2Br.

```
ZnCo2Br
1.0
5.545 0.000 0.000
0.000 5.545 0.000
2.772 2.772 5.267
Zn Co Br
2 4 2
direct
0.500 0.500 0.000
0.250 0.750 0.500
0.633 0.125 0.250
0.117 0.625 0.250
0.375 0.367 0.750
0.875 0.883 0.750
0.000 0.000 0.000
0.750 0.250 0.500
```

## Properties
Formation energy without anion corrections ... 0.786 eV/atom
Energy above the most stable polymorph in this dataset ... 0.516 eV per atom
Energy ... -28.03 eV per cell

=====

- Among the records above, which one has the highest energy?
  PrErTmSc